(1)
Rb3Ag2Bi4 | GGA-PBE | optimized geometry

Properties
Energy of formation from the pure elements (eV per atom): -0.182

Lattice parameters (Å, degrees): 4.9028 7.4137 10.6336 100.83 90.00 109.31
With the nearest neighbours (Å) after each atom.
Positions (direct):
Rb 0.3664 0.7329 0.6053  6 Bi 3.78-4.16, 2 Ag 4.04-4.13
Rb 0.0000 0.0000 0.0000  8 Bi 4.01-4.06, 4 Ag 4.17
Rb 0.6336 0.2671 0.3947  6 Bi 3.78-4.16, 2 Ag 4.04-4.13
Ag 0.3508 0.7016 0.2138  5 Bi 2.90-3.22
Ag 0.6492 0.2984 0.7862  5 Bi 2.90-3.22
Bi 0.7352 0.4705 0.0906  3 Ag 3.08-3.22, 3 Bi 3.20-3.36
Bi 0.0791 0.1582 0.6545  2 Ag 2.90
Bi 0.9209 0.8418 0.3455  2 Ag 2.90
Bi 0.2648 0.5295 0.9094  3 Ag 3.08-3.22, 3 Bi 3.20-3.36


(2)
RbAgBi2 | GGA-PBE | optimized geometry

Properties
Energy of formation from the pure elements (eV per atom): 0.173

Lattice parameters (Å, degrees): 5.5833 5.5833 5.5833 60.00 60.00 60.00
With the nearest neighbours (Å) after each atom.
Positions (direct):
Rb 0.0000 0.0000 0.0000  8 Bi 3.42
Bi 0.2500 0.2500 0.2500  4 Rb 3.42, 4 Ag 3.42
Bi 0.7500 0.7500 0.7500  4 Rb 3.42, 4 Ag 3.42
Ag 0.5000 0.5000 0.5000  8 Bi 3.42


(3)
RbAgBi2 | GGA-PBE | optimized geometry

Properties
Energy of formation from the pure elements (eV per atom): -0.080

Lattice parameters (Å, degrees): 7.0833 8.5769 9.2206 90.00 90.00 90.00
With the nearest neighbours (Å) after each atom.
Positions (direct):
Rb 0.3646 0.2500 0.0382  1 Ag 3.49, 4 Bi 3.79-3.83
Rb 0.8646 0.7500 0.4618  1 Ag 3.49, 4 Bi 3.79-3.83
Rb 0.6354 0.7500 0.9618  1 Ag 3.49, 4 Bi 3.79-3.83
Rb 0.1354 0.2500 0.5382  1 Ag 3.49, 4 Bi 3.79-3.83
Ag 0.6732 0.2500 0.4086  4 Bi 2.96-2.98
Ag 0.1732 0.7500 0.0914  4 Bi 2.96-2.98
Ag 0.3268 0.7500 0.5914  4 Bi 2.96-2.98
Ag 0.8268 0.2500 0.9086  4 Bi 2.96-2.98
Bi 0.8795 0.0714 0.1807  2 Ag 2.96-2.98, 1 Bi 3.06
Bi 0.3795 0.9286 0.3193  2 Ag 2.96-2.98, 1 Bi 3.06
Bi 0.1205 0.5714 0.8193  2 Ag 2.96-2.98, 1 Bi 3.06
Bi 0.6205 0.4286 0.6807  2 Ag 2.96-2.98, 1 Bi 3.06
Bi 0.1205 0.9286 0.8193  2 Ag 2.96-2.98, 1 Bi 3.06
Bi 0.6205 0.0714 0.6807  2 Ag 2.96-2.98, 1 Bi 3.06
Bi 0.8795 0.4286 0.1807  2 Ag 2.96-2.98, 1 Bi 3.06
Bi 0.3795 0.5714 0.3193  2 Ag 2.96-2.98, 1 Bi 3.06


(4)
RbAg3Bi3 | GGA-PBE | optimized geometry

Properties
Energy of formation from the pure elements (eV per atom): 0.122

Lattice parameters (Å, degrees): 7.9822 7.9822 7.9822 90.00 90.00 90.00
With the nearest neighbours (Å) after each atom.
Positions (direct):
Rb 0.5000 0.5000 0.5000  12 Ag 4.46, 12 Bi 4.46
Rb 0.0000 0.0000 0.0000  12 Bi 4.46, 12 Ag 4.46
Bi 0.0000 0.2500 0.5000  4 Ag 2.82
Bi 0.0000 0.7500 0.5000  4 Ag 2.82
Bi 0.5000 0.0000 0.7500  4 Ag 2.82
Bi 0.7500 0.5000 0.0000  4 Ag 2.82
Bi 0.5000 0.0000 0.2500  4 Ag 2.82
Bi 0.2500 0.5000 0.0000  4 Ag 2.82
Ag 0.2500 0.0000 0.5000  4 Bi 2.82
Ag 0.0000 0.5000 0.2500  4 Bi 2.82
Ag 0.5000 0.7500 0.0000  4 Bi 2.82
Ag 0.7500 0.0000 0.5000  4 Bi 2.82
Ag 0.0000 0.5000 0.7500  4 Bi 2.82
Ag 0.5000 0.2500 0.0000  4 Bi 2.82


(5)
RbAgBi2 | GGA-PBE | optimized geometry

Properties
Energy of formation from the pure elements (eV per atom): 0.024

Lattice parameters (Å, degrees): 5.5205 5.5205 11.0546 75.54 75.54 90.00
With the nearest neighbours (Å) after each atom.
Positions (direct):
Rb 0.5000 0.5000 0.0000  4 Bi 3.55, 4 Ag 3.90
Rb 0.2500 0.7500 0.5000  4 Bi 3.55, 4 Ag 3.90
Bi 0.7372 0.1250 0.2500  2 Ag 3.03, 2 Bi 3.15
Bi 0.0128 0.6250 0.2500  2 Ag 3.03, 2 Bi 3.15
Bi 0.3750 0.2628 0.7500  2 Ag 3.03, 2 Bi 3.15
Bi 0.8750 0.9872 0.7500  2 Ag 3.03, 2 Bi 3.15
Ag 0.0000 0.0000 0.0000  4 Bi 3.03
Ag 0.7500 0.2500 0.5000  4 Bi 3.03


(6)
RbAg3Bi2 | GGA-PBE | optimized geometry

Properties
Energy of formation from the pure elements (eV per atom): -0.060

Lattice parameters (Å, degrees): 4.8186 9.3517 8.8580 111.88 90.00 104.93
With the nearest neighbours (Å) after each atom.
Positions (direct):
Rb 0.8445 0.6890 0.9299  7 Bi 3.71-4.09, 4 Ag 3.90-4.13
Rb 0.1555 0.3110 0.0701  7 Bi 3.71-4.09, 4 Ag 3.90-4.13
Ag 0.3035 0.6070 0.5269  4 Bi 2.95-3.04, 3 Ag 2.98-3.01
Ag 0.9784 0.9568 0.6373  3 Ag 2.83-3.03, 3 Bi 2.89-3.04
Ag 0.5798 0.1596 0.6358  3 Bi 2.95-2.98, 6 Ag 2.96-3.29
Ag 0.4202 0.8404 0.3642  3 Bi 2.95-2.98, 6 Ag 2.96-3.29
Ag 0.0216 0.0432 0.3627  3 Ag 2.83-3.03, 3 Bi 2.89-3.04
Ag 0.6965 0.3930 0.4731  4 Bi 2.95-3.04, 3 Ag 2.98-3.01
Bi 0.4669 0.9338 0.8071  4 Ag 2.89-3.04, 1 Bi 3.15
Bi 0.5331 0.0662 0.1929  4 Ag 2.89-3.04, 1 Bi 3.15
Bi 0.8219 0.6438 0.3374  6 Ag 2.95-3.04
Bi 0.1781 0.3562 0.6626  6 Ag 2.95-3.04


no.,calculated total energy (eV per atom)
1,-2.86
2,-2.72
3,-2.97
4,-2.90
5,-2.87
6,-2.94